Density functional theory data (GGA-PBE) for a relaxed FeMoBr2 crystal.

Computed properties:
Its formation energy from raw total energies is 0.8712 eV/atom. For the calculated volume, the calculation gives 20.0 Å³/atom. Its space group is C2/m, No. 12.

Unit cell a=5.9523 b=5.9523 c=3.0689 alpha=61.33 beta=61.33 gamma=90.01
Closest atoms and distances in Å follow each position.
Fractional coordinates of all 4 atoms:
Br  0.0000  0.0000  0.0000  2 Fe 2.61, 2 Mo 2.61
Br  0.5000  0.5000  0.0000  2 Mo 2.61, 2 Fe 2.61
Fe  0.5000  0.0000  0.5000  4 Br 2.61
Mo  0.0000  0.5000  0.5000  4 Br 2.61